DFT (PBE) results for an optimized crystal structure of CsSc2Tl.

Summary:
The energy relative to the lowest polymorph listed for this composition comes out at 44 meV/atom. The calculation puts the formation energy at 0.65 eV per atom. For the total magnetization, the calculation gives 0.000 μB per atom. The calculation puts the theoretical density at 3.802 g/cm3. For the density of states at the Fermi level, the calculation gives 3.42 states/eV/f.u. For the electronic total energy, the calculation gives -26.56 eV/cell.

a = 6.1344 Å, b = 6.1344 Å, c = 10.8241 Å
α = 73.54°, β = 73.54°, γ = 90.00°
Last column: nearest neighbours and their distance in Å.
Fractional coordinates of all 8 atoms:
Tl1 0.7500 0.2500 0.5000  4 Sc 2.92
Sc1 0.8750 0.1251 0.7500  2 Tl 2.92, 2 Sc 3.07
Tl2 0.0000 0.0000 0.0000  4 Sc 2.92
Cs1 0.2500 0.7500 0.5000  8 Sc 4.23, 4 Tl 4.34
Sc2 0.8749 0.6250 0.2500  2 Tl 2.92, 2 Sc 3.07
Sc3 0.3750 0.1249 0.7500  2 Tl 2.92, 2 Sc 3.07
Sc4 0.8751 0.1250 0.2500  2 Tl 2.92, 2 Sc 3.07
Cs2 0.5000 0.5000 0.0000  8 Sc 4.23, 4 Tl 4.34